The following is a PBE calculation of a relaxed LaZnAs crystal, from Alexandria via LeMat-Bulk.

Cell: 4.2946 4.2946 4.3873 Å, 90.00 90.00 120.00°
Closest atoms and distances in Å follow each position.
Fractional coordinates of all 3 atoms:
As  0.0000  0.0000  0.8919  3 Zn 2.55
La  0.6667  0.3333  0.3515  3 Zn 3.05, 3 As 3.20
Zn  0.3333  0.6667  0.7565  3 As 2.55

Results
total magnetization = 0.0 μB per cell
energy relative to the elements = -0.86 eV per atom

=====

The following is a PBE calculation of a relaxed Mg2InPt2 crystal, from Alexandria via LeMat-Bulk.

Cell: 3.9130 3.9130 7.2370 Å, 74.32 74.32 90.00°
Closest atoms and distances in Å follow each position.
Fractional coordinates of all 5 atoms:
Mg  0.3829  0.3829  0.2342  4 Pt 2.64
Mg  0.6171  0.6171  0.7658  4 Pt 2.64
Pt  0.7500  0.2500  0.5000  4 Mg 2.64, 4 Pt 2.77
Pt  0.2500  0.7500  0.5000  4 Mg 2.64, 4 Pt 2.77
In  0.0000  0.0000  0.0000  8 Mg 3.18

Results
total magnetization = 0.0 μB per cell
energy relative to the elements = -0.30 eV per atom

=====

> Among the records above, which one has the highest energy relative to the elements?

Mg2InPt2